Record 1
LiTiCuIr | Alexandria via LeMat-Bulk | PBE | relaxed; space-group type = F-43m (216); calculated formation energy = -354 meV per atom
1.0
4.262 0.000 0.000
2.131 3.691 0.000
2.131 1.230 3.480
Cu Li Ti Ir
1 1 1 1
Cartesian
4.262 2.461 1.740
6.393 3.691 2.610
2.131 1.230 0.870
0.000 0.000 0.000

---

Record 2
NdEuMgRh | Alexandria via LeMat-Bulk | PBE | relaxed; space-group type = F-43m (216); calculated formation energy = -228 meV per atom
1.0
5.218 0.000 0.000
2.609 4.519 0.000
2.609 1.506 4.261
Mg Eu Rh Nd
1 1 1 1
Cartesian
5.218 3.013 2.130
2.609 1.506 1.065
0.000 0.000 0.000
7.827 4.519 3.195

---

Record 3
HfFeCo3 | Alexandria via LeMat-Bulk | PBE | relaxed; space-group type = Pm-3m (221); calculated formation energy = 632 meV per atom; distance to the lowest polymorph of the same formula = 0.713 eV per atom
1.0
4.228 0.000 0.000
0.000 4.228 0.000
0.000 0.000 4.228
Hf Co Fe
1 3 1
Cartesian
2.114 2.114 2.114
0.000 0.000 2.114
0.000 2.114 0.000
2.114 0.000 0.000
0.000 0.000 0.000

---

Record 4
BaMgSbTe2 | Alexandria via LeMat-Bulk | PBE | relaxed; space-group type = P4/mmm (123); formation energy without anion corrections = -0.555 eV/atom; distance to the lowest polymorph of the same formula = 0.000 eV per atom
1.0
5.733 0.000 0.000
0.000 5.733 0.000
0.000 0.000 5.322
Sb Te Ba Mg
1 2 1 1
Cartesian
0.000 0.000 2.661
0.000 2.866 0.000
2.866 0.000 0.000
2.866 2.866 2.661
0.000 0.000 0.000

---

Record 5
LiIn2Rh | Alexandria via LeMat-Bulk | PBE | relaxed; space-group type = R-3m (166); calculated formation energy = -172 meV per atom; distance to the lowest polymorph of the same formula = 0.246 eV per atom
1.0
8.974 -0.003 -0.002
8.394 3.172 -0.002
8.394 1.532 2.778
Rh In Li
1 2 1
Cartesian
19.322 3.526 2.081
0.166 0.030 0.018
12.716 2.321 1.370
6.441 1.175 0.694

---

Record 6
ThGaCo3Ge | Alexandria via LeMat-Bulk | PBE | relaxed; space-group type = Cmcm (63); calculated formation energy = -171 meV per atom
1.0
-0.276 5.524 0.792
-0.983 -0.896 5.906
6.228 0.594 -1.976
Co Ge Th Ga
6 2 2 2
Cartesian
-0.686 -0.626 4.125
1.903 1.431 0.534
-0.296 -0.270 1.781
-0.434 2.492 2.177
-0.824 2.137 4.521
3.067 3.791 4.188
4.174 1.489 0.920
0.796 3.734 3.801
3.123 4.228 1.161
1.846 0.995 3.561
4.799 1.070 4.064
0.170 4.153 0.658

---

Record 7
YbSnRh | Alexandria via LeMat-Bulk | PBE | relaxed; space-group type = P-62m (189); calculated formation energy = -755 meV per atom
1.0
-3.283 2.036 -6.276
-3.900 -0.389 6.241
0.894 3.915 0.803
Yb Sn Rh
3 3 3
Cartesian
-1.594 -0.159 2.551
-4.247 0.974 -0.021
-1.342 0.832 -2.566
-1.989 3.469 -4.256
-1.406 2.382 0.392
-2.447 1.669 5.032
-3.042 3.185 -1.702
-3.248 2.377 2.470
0.000 0.000 0.000

---

Record 8
In2Sb | Alexandria via LeMat-Bulk | PBE | relaxed; space-group type = P2_1/m (11); formation energy without anion corrections = 0.023 eV/atom
1.0
4.405 0.000 -0.026
0.000 5.846 0.000
-1.906 0.000 6.665
In Sb
4 2
Cartesian
1.861 4.384 3.937
-0.455 4.384 1.673
0.638 1.461 2.701
2.954 1.461 4.965
-0.177 4.384 6.193
2.675 1.461 0.445

---

Number 1: spin magnetization 0.0 μB/f.u.. Number 2: spin magnetization 7.0 μB/f.u.. Number 3: spin magnetization 5.7 μB/f.u.. Number 4: spin magnetization 0.0 μB/f.u.. Number 5: spin magnetization 0.0 μB/f.u.. Number 6: spin magnetization 0.0 μB/f.u.. Number 7: spin magnetization 0.2 μB/f.u.. Number 8: spin magnetization 0.0 μB/f.u..